[1]
# La2Tb5Ho12 GGA-PBE relaxed
# * electronic total energy: -4.5422 eV/atom
# * magnetic moment: 0.000 μB/cell
# * N(E_F): 1.513 states/eV/atom
# * distance to the lowest polymorph of the same formula: 0 meV/atom
data_La2Tb5Ho12
_chemical_formula_sum 'La2 Tb5 Ho12'
_cell_length_a 6.751
_cell_length_b 8.775
_cell_length_c 11.407
_cell_angle_alpha 111.01
_cell_angle_beta 92.49
_cell_angle_gamma 100.58
_symmetry_space_group_name_H-M 'P -1'
_symmetry_Int_Tables_number 2
loop_
_symmetry_equiv_pos_as_xyz
'x,y,z'
'-x,-y,-z'
loop_
_atom_site_label
_atom_site_type_symbol
_atom_site_fract_x
_atom_site_fract_y
_atom_site_fract_z
_atom_site_occupancy
La1 La 0.154 0.383 0.074 1
Tb1 Tb 0.047 0.182 0.461 1
Tb2 Tb 0.379 0.737 0.985 1
Tb3 Tb 0.500 0.000 0.500 1
Ho1 Ho 0.119 0.782 0.250 1
Ho2 Ho 0.154 0.976 0.866 1
Ho3 Ho 0.167 0.572 0.685 1
Ho4 Ho 0.341 0.556 0.414 1
Ho5 Ho 0.384 0.141 0.233 1
Ho6 Ho 0.387 0.305 0.774 1

=====

[2]
# ErTh2Tl9 GGA-PBE relaxed
# * electronic total energy: -3.5566 eV/atom
# * magnetic moment: 0.000 μB/cell
# * N(E_F): 0.559 states/eV/atom
data_ErTh2Tl9
_chemical_formula_sum 'Er1 Th2 Tl9'
_cell_length_a 4.807
_cell_length_b 4.807
_cell_length_c 14.363
_cell_angle_alpha 90.00
_cell_angle_beta 90.00
_cell_angle_gamma 90.00
_symmetry_space_group_name_H-M 'P 4/m m m'
_symmetry_Int_Tables_number 123
_symmetry_space_group_name_Hall '-P 4 2'
loop_
_atom_site_label
_atom_site_type_symbol
_atom_site_fract_x
_atom_site_fract_y
_atom_site_fract_z
_atom_site_occupancy
Er1 Er 0.000 0.000 0.000 1
Th1 Th 0.000 0.000 0.332 1
Tl1 Tl 0.000 0.500 0.162 1
Tl2 Tl 0.000 0.500 0.500 1
Tl3 Tl 0.500 0.500 0.000 1
Tl4 Tl 0.500 0.500 0.332 1

=====

[3]
# MnFe2Ge GGA-PBE relaxed
# * electronic total energy: -7.7749 eV/atom
# * magnetic moment: 6.639 μB/cell
# * N(E_F): 0.746 states/eV/atom
data_MnFe2Ge
_chemical_formula_sum 'Mn1 Fe2 Ge1'
_cell_length_a 3.634
_cell_length_b 3.634
_cell_length_c 3.694
_cell_angle_alpha 90.00
_cell_angle_beta 90.00
_cell_angle_gamma 90.00
_symmetry_space_group_name_H-M 'P 4/m m m'
_symmetry_Int_Tables_number 123
_symmetry_space_group_name_Hall '-P 4 2'
loop_
_atom_site_label
_atom_site_type_symbol
_atom_site_fract_x
_atom_site_fract_y
_atom_site_fract_z
_atom_site_occupancy
Mn1 Mn 0.000 0.000 0.000 1
Fe1 Fe 0.000 0.500 0.500 1
Ge1 Ge 0.500 0.500 0.000 1